[1]
Compound: PrOsW
Source: the Open Quantum Materials Database
Functional: PBE
Structure: relaxed

a b c (Å): 6.430 6.430 6.430
angles (deg): 90.00 90.00 90.00
Space group F-43m (No. 216)
Symmetry-distinct sites (fractional):
Pr 0.000 0.000 0.000
Os 0.000 0.000 0.500
W 0.250 0.250 0.750

Calculated values
ΔH_f (0 K), eV/f.u.: 2.8
Total moment, μB/f.u.: 0.00
Calculated volume, Å³/atom: 22.155
Final energy, eV/cell: -104.68

***

[2]
Compound: NbPIrO
Source: the Open Quantum Materials Database
Functional: PBE
Structure: relaxed

a b c (Å): 3.758 3.758 7.395
angles (deg): 90.00 90.00 90.00
Space group P4/nmm (No. 129, origin choice 2)
Symmetry-distinct sites (fractional):
Nb 0.250 0.250 0.168
P 0.250 0.250 0.699
Ir 0.250 0.750 0.500
O 0.250 0.750 0.000

Calculated values
Total moment, μB/f.u.: 0.01
Calculated volume, Å³/atom: 13.053
Energy above the lowest structure with this stoichiometry, meV per atom: 0
Final energy, eV/cell: -66.22